Entry from Alexandria via LeMat-Bulk: a geometry-optimized La3HoTm structure (GGA-PBE).

```
La3HoTm
1.0
-5.1952 -1.9279 0.6814
2.6069 -6.5578 1.3216
-2.1879 0.8910 8.7432
La Ho Tm
6 2 2
direct
0.4045 0.2024 0.9095
0.0129 0.4518 0.6932
0.6212 0.7028 0.4759
0.8123 0.4573 0.0935
0.2134 0.9581 0.2920
0.0128 0.9523 0.6920
0.4017 0.7090 0.9151
0.6239 0.2095 0.4706
0.2103 0.4569 0.2978
0.8154 0.9558 0.0877
```

Properties
As for the density of states at the Fermi level: 7.307 states/eV/f.u. As for the total energy: -4.72 eV per atom. The value obtained for the distance to the lowest polymorph of the same formula is 0 meV/atom. The value obtained for the energy of formation is 46 meV/atom.